## Ho2Co9Ge6 (PBE-GGA)

Data for a geometry-optimized Ho2Co9Ge6 structure.

```
17
Lattice="-1.592 -3.503 3.530 5.102 0.720 -0.847 0.197 7.736 7.766" Properties=species:S:1:pos:R:3 pbc="T T T"
Ho 0.135 5.306 5.326
Ho 0.062 2.430 2.440
Co -0.633 4.682 8.223
Co 2.715 6.793 6.035
Co 1.919 5.042 7.800
Co -0.763 -0.449 3.073
Co 2.584 1.663 0.884
Co 1.788 -0.089 2.650
Co -0.698 2.116 5.648
Co 2.649 4.228 3.460
Co 1.853 2.476 5.225
Ge 2.871 -0.688 0.612
Ge 0.639 -2.095 2.071
Ge 3.002 4.454 5.774
Ge 0.770 3.046 7.233
Ge 0.705 0.499 4.676
Ge 2.937 1.907 3.217
```

Computed properties:
Energy of formation = -4.19 eV/f.u.
Total energy = -6.18 eV per atom
Theoretical density = 8.31 g cm⁻³
Space group = P6/mmm (191)
Magnetization = 0.14 μB/atom